Entry from Alexandria via LeMat-Bulk: Y2MgPt after structural relaxation (PBE).

## Properties
DOS(E_F) ... 3.4 states/eV/cell
Space-group type ... Pm (6)
Formation energy from the elements ... -590.2 meV/atom

Cell lengths 4.612, 3.889, 5.847 Å; angles 70.69, 90.00, 90.00 degrees
Fractional positions:
1 Mg 0.000 0.695 0.484
2 Pt 0.500 0.556 0.762
3 Y 0.000 0.982 0.913
4 Y 0.500 0.267 0.341